NpScRe4: optimized geometry, PBE.

Unit cell a=7.571 b=7.571 c=7.571 alpha=90.00 beta=90.00 gamma=90.00
Space group F-43m (No. 216)
Unique sites:
Np  0.000  0.000  0.000 (multiplicity 4)
Sc  0.250  0.250  0.250 (multiplicity 4)
Re  0.125  0.125  0.625 (multiplicity 16)

- uncorrected energy (eV for the cell shown) = -276.44
- M_tot (μB/f.u.) = 4.6


NpRe4Se8: optimized geometry, PBE.

Unit cell a=7.4969 b=7.4969 c=17.4934 alpha=90.00 beta=90.00 gamma=120.00
Space group R-3m (No. 166, hexagonal axes)
Unique sites:
Np  0.0000  0.0000  0.0000 (multiplicity 3)
Re  0.0000  0.0000  0.5000 (multiplicity 3)
Re  0.0000  0.5000  0.5000 (multiplicity 9)
Se  0.0000  0.0000  0.2457 (multiplicity 6)
Se  0.0114  0.5057  0.2452 (multiplicity 18)

- ΔE_f (raw) (eV per formula unit) = 0.19
- M_tot (μB/f.u.) = 5.3


NpReSi3: optimized geometry, PBE.

Unit cell a=5.300 b=8.365 c=8.058 alpha=90.00 beta=90.00 gamma=90.00
Space group Imma (No. 74)
Unique sites:
Np  0.000  0.250  0.033 (multiplicity 4)
Re  0.000  0.000  0.500 (multiplicity 4)
Si  0.000  0.250  0.663 (multiplicity 4)
Si  0.250  0.005  0.750 (multiplicity 8)

- ΔE_f (raw) (eV per formula unit) = -0.09
- M_tot (μB/f.u.) = 3.9


Np2ReSi3: optimized geometry, PBE.

Unit cell a=5.3668 b=5.3668 c=7.9568 alpha=90.00 beta=90.00 gamma=120.00
Space group P6_3/mmc (No. 194)
Unique sites:
Np  0.3333  0.6667  0.0965 (multiplicity 4)
Re  0.0000  0.0000  0.0000 (multiplicity 2)
Si  0.1709  0.3419  0.7500 (multiplicity 6)

- ΔE_f (raw) (eV per formula unit) = -2.06
- M_tot (μB/f.u.) = 4.5


Np3Re3Si8: optimized geometry, PBE.

Unit cell a=4.142 b=9.745 c=11.367 alpha=90.00 beta=90.00 gamma=90.00
Space group Immm (No. 71)
Unique sites:
Np  0.000  0.000  0.000 (multiplicity 2)
Np  0.000  0.000  0.317 (multiplicity 4)
Re  0.000  0.214  0.500 (multiplicity 4)
Re  0.000  0.500  0.000 (multiplicity 2)
Si  0.000  0.280  0.128 (multiplicity 8)
Si  0.000  0.372  0.335 (multiplicity 8)

- ΔE_f (raw) (eV per formula unit) = -2.76
- M_tot (μB/f.u.) = 2.3


NpRe2Si: optimized geometry, PBE.

Unit cell a=2.8135 b=2.8135 c=28.0217 alpha=90.00 beta=90.00 gamma=120.00
Space group R-3m (No. 166, hexagonal axes)
Unique sites:
Np  0.0000  0.0000  0.0000 (multiplicity 3)
Re  0.0000  0.0000  0.2370 (multiplicity 6)
Si  0.0000  0.0000  0.5000 (multiplicity 3)

- ΔE_f (raw) (eV per formula unit) = 0.98
- M_tot (μB/f.u.) = 3.1


NpReSi: optimized geometry, PBE.

Unit cell a=2.885 b=2.885 c=11.494 alpha=90.00 beta=90.00 gamma=90.00
Space group P4/nmm (No. 129, origin choice 2)
Unique sites:
Np  0.250  0.250  0.102 (multiplicity 2)
Re  0.250  0.250  0.422 (multiplicity 2)
Si  0.250  0.250  0.713 (multiplicity 2)

- ΔE_f (raw) (eV per formula unit) = 0.02
- M_tot (μB/f.u.) = 2.2


SmNpRe4: optimized geometry, PBE.

Unit cell a=7.694 b=7.694 c=7.694 alpha=90.00 beta=90.00 gamma=90.00
Space group F-43m (No. 216)
Unique sites:
Sm  0.000  0.000  0.000 (multiplicity 4)
Np  0.250  0.250  0.250 (multiplicity 4)
Re  0.125  0.125  0.625 (multiplicity 16)

- uncorrected energy (eV for the cell shown) = -267.19
- M_tot (μB/f.u.) = 4.8


SmNpRe: optimized geometry, PBE.

Unit cell a=4.754 b=3.481 c=8.171 alpha=90.00 beta=101.44 gamma=90.00
Space group P2_1/m (No. 11)
Unique sites:
Sm  0.210  0.250  0.370 (multiplicity 2)
Np  0.189  0.750  0.014 (multiplicity 2)
Re  0.345  0.250  0.772 (multiplicity 2)

- uncorrected energy (eV for the cell shown) = -59.07
- M_tot (μB/f.u.) = 0.0


NpTa2Re: optimized geometry, PBE.

Unit cell a=3.162 b=3.162 c=7.446 alpha=90.00 beta=90.00 gamma=90.00
Space group P4/mmm (No. 123)
Unique sites:
Np  0.000  0.000  0.000 (multiplicity 1)
Ta  0.500  0.500  0.283 (multiplicity 2)
Re  0.000  0.000  0.500 (multiplicity 1)

- uncorrected energy (eV for the cell shown) = -48.64
- M_tot (μB/f.u.) = 3.7


TbNpRe4: optimized geometry, PBE.

Unit cell a=7.666 b=7.666 c=7.666 alpha=90.00 beta=90.00 gamma=90.00
Space group F-43m (No. 216)
Unique sites:
Tb  0.000  0.000  0.000 (multiplicity 4)
Np  0.250  0.250  0.250 (multiplicity 4)
Re  0.125  0.125  0.625 (multiplicity 16)

- uncorrected energy (eV for the cell shown) = -268.26
- M_tot (μB/f.u.) = 4.8


NpReTc2: optimized geometry, PBE.

Unit cell a=2.7726 b=2.7726 c=29.3557 alpha=90.00 beta=90.00 gamma=120.00
Space group R-3m (No. 166, hexagonal axes)
Unique sites:
Np  0.0000  0.0000  0.0000 (multiplicity 3)
Re  0.0000  0.0000  0.5000 (multiplicity 3)
Tc  0.0000  0.0000  0.2412 (multiplicity 6)

- relative energy among the computed polymorphs (meV/atom) = 61
- M_tot (μB/f.u.) = 2.5


NpRe2Tc: optimized geometry, PBE.

Unit cell a=2.7566 b=2.7566 c=29.8815 alpha=90.00 beta=90.00 gamma=120.00
Space group R-3m (No. 166, hexagonal axes)
Unique sites:
Np  0.0000  0.0000  0.0000 (multiplicity 3)
Re  0.0000  0.0000  0.2407 (multiplicity 6)
Tc  0.0000  0.0000  0.5000 (multiplicity 3)

- uncorrected energy (eV for the cell shown) = -141.93
- M_tot (μB/f.u.) = 2.3


NpReTc2: optimized geometry, PBE.

Unit cell a=6.441 b=6.441 c=6.441 alpha=90.00 beta=90.00 gamma=90.00
Space group Fm-3m (No. 225)
Unique sites:
Np  0.000  0.000  0.000 (multiplicity 4)
Re  0.000  0.000  0.500 (multiplicity 4)
Tc  0.250  0.250  0.250 (multiplicity 8)

- relative energy among the computed polymorphs (meV/atom) = 103
- M_tot (μB/f.u.) = 3.3


NpReTc2: optimized geometry, PBE.

Unit cell a=4.594 b=4.594 c=3.102 alpha=90.00 beta=90.00 gamma=90.00
Space group P4/mmm (No. 123)
Unique sites:
Np  0.000  0.000  0.000 (multiplicity 1)
Re  0.500  0.500  0.000 (multiplicity 1)
Tc  0.000  0.500  0.500 (multiplicity 2)

- relative energy among the computed polymorphs (meV/atom) = 0
- M_tot (μB/f.u.) = 1.7


NpReTc2: optimized geometry, PBE.

Unit cell a=3.012 b=3.012 c=7.345 alpha=90.00 beta=90.00 gamma=90.00
Space group P4/mmm (No. 123)
Unique sites:
Np  0.000  0.000  0.000 (multiplicity 1)
Re  0.000  0.000  0.500 (multiplicity 1)
Tc  0.500  0.500  0.282 (multiplicity 2)

- relative energy among the computed polymorphs (meV/atom) = 25
- M_tot (μB/f.u.) = 1.6


NpTiReTc: optimized geometry, PBE.

Unit cell a=6.475 b=6.475 c=6.475 alpha=90.00 beta=90.00 gamma=90.00
Space group F-43m (No. 216)
Unique sites:
Np  0.000  0.000  0.000 (multiplicity 4)
Ti  0.000  0.000  0.500 (multiplicity 4)
Re  0.250  0.250  0.250 (multiplicity 4)
Tc  0.250  0.250  0.750 (multiplicity 4)

- uncorrected energy (eV for the cell shown) = -175.38
- M_tot (μB/f.u.) = 3.1


NpReTe2: optimized geometry, PBE.

Unit cell a=3.2314 b=3.2314 c=30.5285 alpha=90.00 beta=90.00 gamma=120.00
Space group R-3m (No. 166, hexagonal axes)
Unique sites:
Np  0.0000  0.0000  0.0000 (multiplicity 3)
Re  0.0000  0.0000  0.5000 (multiplicity 3)
Te  0.0000  0.0000  0.4156 (multiplicity 6)

- ΔE_f (raw) (eV per formula unit) = 2.72
- M_tot (μB/f.u.) = 3.5


ThNpRe4: optimized geometry, PBE.

Unit cell a=7.722 b=7.722 c=7.722 alpha=90.00 beta=90.00 gamma=90.00
Space group F-43m (No. 216)
Unique sites:
Th  0.000  0.000  0.000 (multiplicity 4)
Np  0.250  0.250  0.250 (multiplicity 4)
Re  0.125  0.125  0.625 (multiplicity 16)

- uncorrected energy (eV for the cell shown) = -278.66
- M_tot (μB/f.u.) = 3.7


NpTi2Re: optimized geometry, PBE.

Unit cell a=4.629 b=4.629 c=3.128 alpha=90.00 beta=90.00 gamma=90.00
Space group P4/mmm (No. 123)
Unique sites:
Np  0.000  0.000  0.000 (multiplicity 1)
Ti  0.000  0.500  0.500 (multiplicity 2)
Re  0.500  0.500  0.000 (multiplicity 1)

- relative energy among the computed polymorphs (meV/atom) = 153
- M_tot (μB/f.u.) = 3.0